The following is a DFT calculation (PBE) of an optimized crystal structure of CaMgScAl.

Structure (extended XYZ):
```
4
Lattice="5.1347 0.0000 0.0000 2.5673 4.4467 0.0000 2.5673 1.4822 4.1924" Properties=species:S:1:pos:R:3 pbc="T T T"
Al 2.5673 1.4822 1.0481
Ca 5.1347 2.9645 2.0962
Sc 0.0000 0.0000 0.0000
Mg 7.7020 4.4467 3.1443
```

Results
space-group type: F-43m
total energy: -14.3 eV/f.u.
M_tot: 0.00 μB/atom
energy relative to the elements: -157 meV/atom
DOS(E_F): 0.632 states/eV/atom

=====

The following is a DFT calculation (PBE) of an optimized crystal structure of CaSmMgAl.

Structure (extended XYZ):
```
4
Lattice="-5.0957 -1.5401 -0.4655 -1.9233 -3.8604 3.1548 -3.5140 1.1941 3.8446" Properties=species:S:1:pos:R:3 pbc="T T T"
Sm -2.6332 -1.0516 1.6335
Mg 0.0000 0.0000 0.0000
Ca -7.8997 -3.1548 4.9004
Al -5.2664 -2.1032 3.2669
```

Results
space-group type: F-43m
total energy: -12.9 eV/f.u.
M_tot: 0.00 μB/atom
energy relative to the elements: -210 meV/atom
DOS(E_F): 0.547 states/eV/atom

=====

The following is a DFT calculation (PBE) of an optimized crystal structure of Ca2MgAlTe.

Structure (extended XYZ):
```
5
Lattice="5.7717 0.0000 0.0000 0.0000 5.0689 0.0000 0.0000 0.0000 5.7717" Properties=species:S:1:pos:R:3 pbc="T T T"
Mg 0.0000 2.5344 0.0000
Te 2.8859 2.5344 2.8859
Al 0.0000 0.0000 0.0000
Ca 2.8859 0.0000 0.0000
Ca 0.0000 0.0000 2.8859
```

Results
space-group type: P4/mmm
total energy: -13.6 eV/f.u.
M_tot: 0.00 μB/atom
energy relative to the elements, uncorrected: -0.22 eV per atom
DOS(E_F): 0.642 states/eV/atom